# 1
VASP calculation (PBE) on a geometry-optimized SmDyAlIr2 structure.

a b c (Å): 4.121 5.852 8.650
angles (deg): 90.00 90.00 90.00
Positions (direct):
Sm (0.000, 0.000, 0.000)
Sm (0.500, 0.500, 0.500)
Dy (0.000, 0.000, 0.397)
Dy (0.500, 0.500, 0.897)
Al (0.000, 0.500, 0.198)
Al (0.500, 0.000, 0.698)
Ir (0.000, 0.259, 0.699)
Ir (0.000, 0.741, 0.699)
Ir (0.500, 0.241, 0.199)
Ir (0.500, 0.759, 0.199)

Properties
The total energy is -7.043 eV/atom. The total magnetic moment comes out at 0.0 μB/f.u.


# 2
VASP calculation (PBE) on a geometry-optimized LiMgU structure.

a b c (Å): 6.758 6.758 6.758
angles (deg): 90.00 90.00 90.00
Positions (direct):
Li (0.000, 0.000, 0.000)
Li (0.000, 0.500, 0.500)
Li (0.500, 0.000, 0.500)
Li (0.500, 0.500, 0.000)
Mg (0.250, 0.250, 0.750)
Mg (0.250, 0.750, 0.250)
Mg (0.750, 0.250, 0.250)
Mg (0.750, 0.750, 0.750)
U (0.250, 0.250, 0.250)
U (0.250, 0.750, 0.750)
U (0.750, 0.250, 0.750)
U (0.750, 0.750, 0.250)

Properties
The total energy is -3.805 eV/atom. The total magnetic moment comes out at 3.8 μB/f.u. The calculation puts the energy above the most stable polymorph in this dataset at 0.0 kJ/mol of formula units.


# 3
VASP calculation (PBE) on a geometry-optimized Ir2Au structure.

a b c (Å): 5.219 5.219 5.219
angles (deg): 60.00 60.00 60.00
Positions (direct):
Ir (0.000, 0.000, 0.000)
Ir (0.000, 0.000, 0.500)
Ir (0.000, 0.500, 0.000)
Ir (0.500, 0.000, 0.000)
Au (0.375, 0.375, 0.375)
Au (0.625, 0.625, 0.625)

Properties
The energy of formation is 0.653 eV per atom. The total energy is -6.340 eV/atom. The total magnetic moment comes out at 1.0 μB/f.u. The calculation puts the energy above the most stable polymorph in this dataset at 0.0 kJ/mol of formula units.


# 4
VASP calculation (PBE) on a geometry-optimized TbTmPu structure.

a b c (Å): 7.591 7.591 7.591
angles (deg): 90.00 90.00 90.00
Positions (direct):
Tb (0.000, 0.000, 0.000)
Tb (0.000, 0.500, 0.500)
Tb (0.500, 0.000, 0.500)
Tb (0.500, 0.500, 0.000)
Tm (0.250, 0.250, 0.750)
Tm (0.250, 0.750, 0.250)
Tm (0.750, 0.250, 0.250)
Tm (0.750, 0.750, 0.750)
Pu (0.000, 0.000, 0.500)
Pu (0.000, 0.500, 0.000)
Pu (0.500, 0.000, 0.000)
Pu (0.500, 0.500, 0.500)

Properties
The energy of formation is 1.661 eV per atom. The total energy is -6.083 eV/atom. The total magnetic moment comes out at 0.7 μB/f.u.